(1)
A relaxed structure of MgAsH. Source: Alexandria, functional PBE.

Calculated values
Theoretical density (g/cm3): 3.28
Space-group type: Pnma, No. 62
DFT total energy (eV per formula unit): -10.30

a b c (Å): 4.110 7.663 6.452
angles (deg): 90.00 90.00 90.00
Positions (direct):
H: 0.750 0.487 0.595
H: 0.750 0.013 0.095
H: 0.250 0.513 0.405
H: 0.250 0.987 0.905
As: 0.750 0.158 0.265
As: 0.250 0.658 0.235
As: 0.750 0.342 0.765
As: 0.250 0.842 0.735
Mg: 0.750 0.665 0.945
Mg: 0.250 0.335 0.055
Mg: 0.750 0.835 0.445
Mg: 0.250 0.165 0.555

---

(2)
A relaxed structure of LiPuCrN3. Source: Alexandria, functional PBE.

Calculated values
Theoretical density (g/cm3): 7.08
Space-group type: P2_1/m, No. 11
Uncorrected formation energy (meV/atom): -690.0

a b c (Å): 3.386 6.235 7.664
angles (deg): 89.80 90.00 90.00
Last column: magnetic moment on the atom in μB.
Positions (direct):
Li: 0.250 0.124 0.105  0.00
Li: 0.750 0.876 0.895  0.00
Pu: 0.250 0.608 0.175  4.20
Pu: 0.750 0.392 0.825  4.20
Cr: 0.250 0.087 0.597  1.15
Cr: 0.750 0.913 0.403  1.15
N: 0.750 0.872 0.174  -0.13
N: 0.250 0.128 0.826  -0.13
N: 0.250 0.817 0.472  -0.10
N: 0.750 0.183 0.528  -0.10
N: 0.750 0.391 0.111  -0.25
N: 0.250 0.609 0.889  -0.25

---

(3)
A relaxed structure of MgInCl2. Source: Alexandria, functional PBE.

Calculated values
Theoretical density (g/cm3): 2.79
Space-group type: I-42d, No. 122
Uncorrected formation energy (meV/atom): -912.5

a b c (Å): 7.731 7.731 6.880
angles (deg): 55.82 55.82 90.00
Positions (direct):
Mg: 0.500 0.500 0.000
Mg: 0.250 0.750 0.500
Cl: 0.501 0.125 0.250
Cl: 0.249 0.625 0.250
Cl: 0.375 0.499 0.750
Cl: 0.875 0.751 0.750
In: 0.000 0.000 0.000
In: 0.750 0.250 0.500

---

(4)
A relaxed structure of As2AuBrF. Source: Alexandria, functional PBE.

Calculated values
Theoretical density (g/cm3): 5.55
Space-group type: P4/mmm, No. 123
Uncorrected formation energy (meV/atom): 512.1

a b c (Å): 5.020 5.020 5.294
angles (deg): 90.00 90.00 90.00
Positions (direct):
As: 0.000 0.500 0.000
As: 0.500 0.000 0.000
Au: 0.000 0.000 0.000
Br: 0.000 0.000 0.500
F: 0.500 0.500 0.500

---

(5)
A relaxed structure of Ni4Bi2N. Source: Alexandria, functional PBE.

Calculated values
Theoretical density (g/cm3): 10.34
Space-group type: I4/mmm, No. 139
Uncorrected formation energy (meV/atom): 41.1

a b c (Å): 3.806 3.806 7.863
angles (deg): 75.99 75.99 90.00
Positions (direct):
Ni: 0.874 0.874 0.253
Ni: 0.126 0.126 0.747
Ni: 0.000 0.500 0.000
Ni: 0.500 0.000 0.000
Bi: 0.673 0.673 0.654
Bi: 0.327 0.327 0.346
N: 0.000 0.000 0.000

---

(6)
A relaxed structure of Ag3Se5I12. Source: Alexandria, functional PBE.

Calculated values
Theoretical density (g/cm3): 4.35
Space-group type: Ia-3d, No. 230
Uncorrected formation energy (meV/atom): 249.4

a b c (Å): 16.442 16.442 16.442
angles (deg): 109.47 109.47 109.47
Last column: magnetic moment on the atom in μB.
Positions (direct):
Ag: 0.750 0.375 0.125  0.02
Ag: 0.875 0.750 0.125  0.02
Ag: 0.375 0.750 0.625  0.02
Ag: 0.250 0.125 0.375  0.02
Ag: 0.875 0.125 0.250  0.02
Ag: 0.375 0.625 0.250  0.02
Ag: 0.625 0.375 0.750  0.02
Ag: 0.125 0.875 0.750  0.02
Ag: 0.750 0.875 0.625  0.02
Ag: 0.625 0.250 0.375  0.02
Ag: 0.125 0.250 0.875  0.02
Ag: 0.250 0.625 0.875  0.02
Se: 0.125 0.375 0.250  0.56
Se: 0.000 0.500 0.000  -0.02
Se: 0.000 0.000 0.000  -0.02
Se: 0.375 0.250 0.125  0.56
Se: 0.500 0.000 0.500  -0.02
Se: 0.500 0.500 0.000  -0.02
Se: 0.125 0.750 0.375  0.56
Se: 0.750 0.125 0.875  0.56
Se: 0.750 0.625 0.375  0.56
Se: 0.375 0.125 0.750  0.56
Se: 0.625 0.875 0.250  0.56
Se: 0.500 0.500 0.500  -0.02
Se: 0.500 0.000 0.000  -0.02
Se: 0.000 0.000 0.500  -0.02
Se: 0.250 0.375 0.625  0.56
Se: 0.250 0.875 0.125  0.56
Se: 0.000 0.500 0.500  -0.02
Se: 0.875 0.250 0.625  0.56
Se: 0.625 0.750 0.875  0.56
Se: 0.875 0.625 0.750  0.56
I: 0.654 0.163 0.003  0.08
I: 0.349 0.503 0.340  0.08
I: 0.997 0.337 0.346  0.08
I: 0.503 0.154 0.163  0.08
I: 0.491 0.654 0.651  0.08
I: 0.997 0.660 0.151  0.08
I: 0.349 0.846 0.509  0.08
I: 0.160 0.009 0.163  0.08
I: 0.660 0.997 0.651  0.08
I: 0.654 0.491 0.151  0.08
I: 0.846 0.497 0.337  0.08
I: 0.849 0.840 0.003  0.08
I: 0.163 0.654 0.503  0.08
I: 0.337 0.340 0.991  0.08
I: 0.991 0.840 0.337  0.08
I: 0.509 0.163 0.660  0.08
I: 0.991 0.151 0.154  0.08
I: 0.497 0.651 0.160  0.08
I: 0.849 0.009 0.346  0.08
I: 0.163 0.509 0.160  0.08
I: 0.337 0.997 0.846  0.08
I: 0.660 0.663 0.509  0.08
I: 0.840 0.849 0.503  0.08
I: 0.846 0.349 0.009  0.08
I: 0.340 0.337 0.491  0.08
I: 0.160 0.151 0.497  0.08
I: 0.154 0.651 0.991  0.08
I: 0.151 0.991 0.654  0.08
I: 0.663 0.003 0.154  0.08
I: 0.837 0.491 0.840  0.08
I: 0.503 0.349 0.840  0.08
I: 0.491 0.837 0.340  0.08
I: 0.009 0.849 0.846  0.08
I: 0.009 0.160 0.663  0.08
I: 0.837 0.346 0.497  0.08
I: 0.151 0.160 0.997  0.08
I: 0.663 0.660 0.009  0.08
I: 0.340 0.003 0.349  0.08
I: 0.346 0.509 0.849  0.08
I: 0.154 0.503 0.663  0.08
I: 0.840 0.991 0.837  0.08
I: 0.651 0.154 0.491  0.08
I: 0.497 0.846 0.837  0.08
I: 0.003 0.340 0.849  0.08
I: 0.509 0.346 0.349  0.08
I: 0.003 0.663 0.654  0.08
I: 0.651 0.497 0.660  0.08
I: 0.346 0.837 0.997  0.08

---

(7)
A relaxed structure of SmPaPdRh. Source: Alexandria, functional PBE.

Calculated values
Theoretical density (g/cm3): 11.40
Space-group type: F-43m, No. 216
Energy of formation (meV per atom): -546.5

a b c (Å): 4.955 4.955 4.955
angles (deg): 60.00 60.00 60.00
Last column: magnetic moment on the atom in μB.
Positions (direct):
Pa: 0.250 0.250 0.250  0.27
Rh: 0.500 0.500 0.500  -0.03
Pd: 0.000 0.000 0.000  -0.01
Sm: 0.750 0.750 0.750  0.03

---

(8)
A relaxed structure of Tl2PbCl. Source: Alexandria, functional PBE.

Calculated values
Theoretical density (g/cm3): 6.26
Space-group type: I-42d, No. 122
Uncorrected formation energy (meV/atom): -117.1

a b c (Å): 6.550 6.550 9.296
angles (deg): 69.37 69.37 90.00
Positions (direct):
Pb: 0.000 0.000 0.000
Pb: 0.750 0.250 0.500
Tl: 0.625 0.125 0.250
Tl: 0.125 0.625 0.250
Tl: 0.375 0.375 0.750
Tl: 0.875 0.875 0.750
Cl: 0.500 0.500 0.000
Cl: 0.250 0.750 0.500

---

> Which of these has the highest theoretical density?

SmPaPdRh